Below is a relaxed NaTiTl2I6 crystal, with properties calculated at the PBE level.

Volume: 408 Å³/cell
Energy relative to the elements, uncorrected: -749 kJ/mol of formula units

Cell lengths 8.3427, 8.3427, 8.3427 Å; angles 59.72, 59.72, 59.72 degrees
With the nearest neighbours (Å) after each atom.
Positions (direct):
Na 0.0000 0.0000 0.0000  6 I 3.19-3.30
Ti 0.4945 0.4945 0.4945  6 I 2.83-2.84
Tl 0.2822 0.2822 0.2822  6 I 3.53-3.55
Tl 0.7912 0.7912 0.7912  6 I 3.51-3.55
I 0.1687 0.7133 0.3563  1 Ti 2.84
I 0.2633 0.6397 0.8138  1 Ti 2.83
I 0.3563 0.1687 0.7133  1 Ti 2.84
I 0.6397 0.8138 0.2633  1 Ti 2.83
I 0.7133 0.3563 0.1687  1 Ti 2.84
I 0.8138 0.2633 0.6397  1 Ti 2.83

Below is a relaxed NaTiTlI6 crystal, with properties calculated at the PBE level.

Volume: 385 Å³/cell
Energy relative to the elements, uncorrected: -680 kJ/mol of formula units

Cell lengths 7.8660, 7.8660, 7.1845 Å; angles 90.02, 90.02, 120.07 degrees
With the nearest neighbours (Å) after each atom.
Positions (direct):
Na 0.0000 0.0000 0.0000  6 I 3.18
Ti 0.6668 0.3332 0.0000  6 I 2.78
Tl 0.3335 0.6665 0.5000  6 I 3.51
I 0.3723 0.0539 0.7747  1 Ti 2.78
I 0.3730 0.3177 0.2257  1 Ti 2.78
I 0.6822 0.0544 0.2255  1 Ti 2.78
I 0.6823 0.6270 0.7743  1 Ti 2.78
I 0.9456 0.3178 0.7745  1 Ti 2.78
I 0.9461 0.6277 0.2253  1 Ti 2.78

Below is a relaxed NaTl2I4 crystal, with properties calculated at the PBE level.

Volume: 310 Å³/cell
Relative energy among the computed polymorphs: 5.85 kJ/mol of atoms
Energy relative to the elements, uncorrected: -384 kJ/mol of formula units

Cell lengths 9.3209, 9.3209, 9.3209 Å; angles 141.59, 141.59, 55.45 degrees
With the nearest neighbours (Å) after each atom.
Positions (direct):
Na 0.0000 0.0000 0.0000  6 I 3.07-3.17
Tl 0.3830 0.3830 0.0000  1 I 3.15
Tl 0.6170 0.6170 0.0000  1 I 3.15
I 0.0000 0.5000 0.5000  2 Na 3.07
I 0.1922 0.1922 0.0000  1 Tl 3.15, 1 Na 3.17
I 0.5000 0.0000 0.5000  2 Na 3.07
I 0.8078 0.8078 0.0000  1 Tl 3.15, 1 Na 3.17

Below is a relaxed Na3TlI crystal, with properties calculated at the PBE level.

Volume: 214 Å³/cell
Relative energy among the computed polymorphs: 13.26 kJ/mol of atoms
Energy relative to the elements, uncorrected: -48 kJ/mol of formula units

Cell lengths 5.9857, 5.9857, 5.9857 Å; angles 90.00, 90.00, 90.00 degrees
With the nearest neighbours (Å) after each atom.
Positions (direct):
Na 0.0000 0.0000 0.5000  2 Tl 2.99
Na 0.0000 0.5000 0.0000  2 Tl 2.99
Na 0.5000 0.0000 0.0000  2 Tl 2.99
Tl 0.0000 0.0000 0.0000  6 Na 2.99
I 0.5000 0.5000 0.5000  12 Na 4.23

What magnetization values result from the calculations? In sequence: 1.0; 0.0; 0.0; 0.0 Bohr magnetons per cell.